w | 4
Lattice="-3.3478 0.1901 -0.4767 0.9606 -1.5499 2.8542 -0.1565 7.2484 3.9887" Properties=species:S:1:pos:R:3 comment="GGA-PBEsol FePtBr2, optimized geometry" n_ef_per_ev_cell=2.617 sg=Cmm2 pbc="T T T"
Br -0.0107 0.4948 0.2723
Br -1.2994 4.2191 3.8846
Fe -0.0735 3.4073 1.8750
Pt -1.2383 1.3915 2.3286

x | 4
Lattice="3.3191 0.0000 0.0000 0.0000 3.5064 -0.0548 0.0000 -1.0370 7.2407" Properties=species:S:1:pos:R:3 comment="GGA-PBEsol FePtBr2, optimized geometry" n_ef_per_ev_cell=1.092 sg=Pm pbc="T T T"
Br 0.0000 2.3432 6.5717
Br 1.6596 1.7437 2.2496
Fe 0.0000 1.8607 4.0632
Pt 1.6596 0.2260 5.0802

In kJ/mol of atoms, relative to the most stable structure: w 9.3; x 0.0.

w | 4
Lattice="2.9922 0.0000 0.0000 0.0000 3.0284 -0.0008 0.0000 -0.1233 7.2949" Properties=species:S:1:pos:R:3 comment="GGA-PBEsol FeRe2Br, optimized geometry" n_ef_per_ev_cell=4.842 sg=Pm pbc="T T T"
Br 0.0000 1.5594 3.6871
Fe 1.4961 1.3463 5.7458
Re 0.0000 2.9978 0.0355
Re 1.4961 1.4825 1.4720

x | 4
Lattice="-0.0643 -4.2716 0.0275 3.1681 -0.0661 -2.8654 0.4749 2.1528 3.6603" Properties=species:S:1:pos:R:3 comment="GGA-PBEsol FeRe2Br, optimized geometry" n_ef_per_ev_cell=3.742 sg=Fm-3m pbc="T T T"
Br 1.5519 -2.1689 -1.4189
Fe 0.0000 0.0000 0.0000
Re 0.9813 -2.1438 1.1344
Re 2.5975 -0.0411 -0.3120

y | 4
Lattice="-0.0280 -0.1040 -2.7691 -2.0877 -1.2827 1.2943 -4.8507 7.6542 -0.2383" Properties=species:S:1:pos:R:3 comment="GGA-PBEsol FeRe2Br, optimized geometry" n_ef_per_ev_cell=3.615 sg=Cmm2 pbc="T T T"
Br -2.2841 3.6042 -0.1122
Fe -2.2216 1.1430 -0.7945
Re -0.0550 0.0867 -0.0027
Re -4.8311 5.2606 -0.9228

In kJ/mol of atoms, relative to the most stable structure: w 0.0; x 50.7; y 19.6.